Tm3Zn2Ga: relaxed, PBE-GGA.

abc: 3.5251 3.5251 10.5320
angles: 90.00 90.00 90.00
Sites, in units of the cell vectors:
Tm  0.0000  0.0000  0.0000
Tm  0.0000  0.0000  0.6682
Tm  0.0000  0.0000  0.3318
Zn  0.5000  0.5000  0.8370
Zn  0.5000  0.5000  0.1630
Ga  0.5000  0.5000  0.5000

Computed properties:
Magnetization ... 0.00 μB/f.u.
Total energy ... -3.592 eV/atom
SG ... P4/mmm, No. 123
Energy of formation ... -427 meV/atom
Offset from the most stable computed form ... 5.1 meV per atom

AgHgW2: relaxed, PBE-GGA.

abc: 5.3203 5.3203 5.3203
angles: 137.91 136.04 62.49
Sites, in units of the cell vectors:
Ag  0.7500  0.2500  0.5000
Hg  0.2500  0.7500  0.5000
W  0.9996  0.9996  0.0000
W  0.5004  0.5004  0.0000

Computed properties:
Magnetization ... 0.00 μB/f.u.
Total energy ... -6.507 eV/atom
SG ... Immm, No. 71
Energy of formation ... 757 meV/atom